#A
{
  "formula": "AcSb2Rh",
  "functional": "PBE",
  "state": "optimized geometry",
  "sg": "P4/mmm",
  "n_ef_per_ev_atom": 0.845,
  "crystal_system": "tetragonal",
  "cell": [[4.754, 0.000, 0.000], [0.000, 4.657, 0.000], [0.000, 0.000, 4.657]],
  "species": ["Sb", "Sb", "Ac", "Rh"],
  "frac_coords": [[0.000, 0.000, 0.500], [0.000, 0.500, 0.000], [0.500, 0.500, 0.500], [0.500, 0.000, 0.000]]
}

***

#B
{
  "formula": "AcSb2Rh",
  "functional": "PBE",
  "state": "optimized geometry",
  "sg": "Cmcm",
  "n_ef_per_ev_atom": 0.382,
  "crystal_system": "orthorhombic",
  "cell": [[4.951, 0.000, 0.000], [0.000, 4.566, -1.150], [0.000, -0.058, 9.412]],
  "species": ["Ac", "Ac", "Sb", "Sb", "Sb", "Sb", "Rh", "Rh"],
  "frac_coords": [[0.250, 0.891, 0.782], [0.750, 0.109, 0.218], [0.250, 0.252, 0.504], [0.750, 0.748, 0.496], [0.750, 0.457, 0.914], [0.250, 0.543, 0.086], [0.750, 0.314, 0.628], [0.250, 0.686, 0.372]]
}

***

#C
{
  "formula": "AcSb2Rh",
  "functional": "PBE",
  "state": "optimized geometry",
  "sg": "P4/nmm",
  "n_ef_per_ev_atom": 0.771,
  "crystal_system": "tetragonal",
  "cell": [[4.534, 0.000, 0.000], [0.000, 4.534, 0.000], [0.000, 0.000, 10.622]],
  "species": ["Ac", "Ac", "Sb", "Sb", "Sb", "Sb", "Rh", "Rh"],
  "frac_coords": [[0.000, 0.500, 0.249], [0.500, 0.000, 0.751], [0.500, 0.000, 0.132], [0.000, 0.500, 0.868], [0.000, 0.000, 0.500], [0.500, 0.500, 0.500], [0.500, 0.500, 0.000], [0.000, 0.000, 0.000]]
}

***

#D
{
  "formula": "AcSb2Rh",
  "functional": "PBE",
  "state": "optimized geometry",
  "sg": "R-3m",
  "n_ef_per_ev_atom": 0.720,
  "crystal_system": "trigonal",
  "cell": [[4.145, 0.000, 0.000], [2.073, 3.590, 0.000], [2.073, 1.197, 8.942]],
  "species": ["Sb", "Sb", "Ac", "Rh"],
  "frac_coords": [[0.123, 0.123, 0.630], [0.877, 0.877, 0.370], [0.000, 0.000, 0.000], [0.500, 0.500, 0.500]]
}

***

Ordering by calculated energy gives the sequence #B, #C, #A, #D, with the first entry being the most stable.

***

#A
{
  "formula": "AcSb3Rh",
  "functional": "PBE",
  "state": "optimized geometry",
  "sg": "Pm-3m",
  "n_ef_per_ev_atom": 1.237,
  "crystal_system": "cubic",
  "cell": [[5.246, 0.000, 0.000], [0.000, 5.246, 0.000], [0.000, 0.000, 5.246]],
  "species": ["Sb", "Sb", "Sb", "Ac", "Rh"],
  "frac_coords": [[0.000, 0.500, 0.000], [0.000, 0.000, 0.500], [0.500, 0.000, 0.000], [0.500, 0.500, 0.500], [0.000, 0.000, 0.000]]
}

***

#B
{
  "formula": "AcSb3Rh",
  "functional": "PBE",
  "state": "optimized geometry",
  "sg": "Pmn2_1",
  "n_ef_per_ev_atom": 0.533,
  "crystal_system": "orthorhombic",
  "cell": [[-6.408, 0.516, -0.302], [-0.584, -5.502, 2.979], [-0.022, 3.231, 5.964]],
  "species": ["Ac", "Ac", "Sb", "Sb", "Sb", "Sb", "Sb", "Sb", "Rh", "Rh"],
  "frac_coords": [[0.415, 0.313, 0.701], [0.915, 0.040, 0.200], [0.378, 0.272, 0.201], [0.460, 0.838, 0.967], [0.960, 0.515, 0.466], [0.879, 0.081, 0.700], [0.960, 0.515, 0.935], [0.460, 0.838, 0.435], [0.165, 0.787, 0.701], [0.665, 0.566, 0.201]]
}

***

Ordering by calculated energy gives the sequence #B, #A, with the first entry being the most stable.

***

#A
{
  "formula": "Ac2Sb2Rh3",
  "functional": "PBE",
  "state": "optimized geometry",
  "sg": "C2/m",
  "n_ef_per_ev_atom": 0.706,
  "crystal_system": "monoclinic",
  "cell": [[-0.848, -3.119, -2.427], [4.530, -1.805, 4.102], [-7.008, -0.248, 2.765]],
  "species": ["Ac", "Ac", "Sb", "Sb", "Rh", "Rh", "Rh"],
  "frac_coords": [[0.879, 0.758, 0.231], [0.121, 0.242, 0.769], [0.842, 0.684, 0.752], [0.158, 0.316, 0.248], [0.500, 0.000, 0.000], [0.607, 0.215, 0.432], [0.393, 0.785, 0.568]]
}

***

#B
{
  "formula": "Ac2Sb2Rh3",
  "functional": "PBE",
  "state": "optimized geometry",
  "sg": "I2_13",
  "n_ef_per_ev_atom": 0.548,
  "crystal_system": "cubic",
  "cell": [[7.293, 0.000, -2.579], [-3.647, 6.316, -2.579], [0.000, 0.000, 7.736]],
  "species": ["Ac", "Ac", "Ac", "Ac", "Sb", "Sb", "Sb", "Sb", "Rh", "Rh", "Rh", "Rh", "Rh", "Rh"],
  "frac_coords": [[0.000, 0.000, 0.495], [0.500, 0.495, 0.500], [0.505, 0.005, 0.005], [0.995, 0.500, 0.000], [0.000, 0.000, 0.930], [0.500, 0.930, 0.500], [0.070, 0.570, 0.570], [0.430, 0.500, 0.000], [0.773, 0.750, 0.023], [0.727, 0.250, 0.477], [0.977, 0.227, 0.250], [0.523, 0.273, 0.750], [0.250, 0.023, 0.273], [0.750, 0.477, 0.227]]
}

***

Ordering by calculated energy gives the sequence #B, #A, with the first entry being the most stable.

***

#A
{
  "formula": "Ac3SbRh",
  "functional": "PBE",
  "state": "optimized geometry",
  "sg": "Pm-3m",
  "n_ef_per_ev_atom": 0.858,
  "crystal_system": "cubic",
  "cell": [[-2.089, 5.305, 0.389], [-3.529, -1.695, 4.163], [3.980, 1.281, 3.896]],
  "species": ["Sb", "Ac", "Ac", "Ac", "Rh"],
  "frac_coords": [[0.500, 0.500, 0.500], [0.000, 0.500, 0.000], [0.000, 0.000, 0.500], [0.500, 0.000, 0.000], [0.000, 0.000, 0.000]]
}

***

#B
{
  "formula": "Ac3SbRh",
  "functional": "PBE",
  "state": "optimized geometry",
  "sg": "P2_1/m",
  "n_ef_per_ev_atom": 0.934,
  "crystal_system": "monoclinic",
  "cell": [[-1.379, -3.583, 2.328], [0.122, -4.764, -7.258], [8.879, -1.848, 2.414]],
  "species": ["Ac", "Ac", "Ac", "Ac", "Ac", "Ac", "Sb", "Sb", "Rh", "Rh"],
  "frac_coords": [[0.750, 0.630, 0.393], [0.250, 0.370, 0.607], [0.750, 0.272, 0.948], [0.250, 0.922, 0.676], [0.250, 0.728, 0.052], [0.750, 0.078, 0.324], [0.250, 0.376, 0.211], [0.750, 0.624, 0.789], [0.250, 0.849, 0.362], [0.750, 0.151, 0.638]]
}

***

Ordering by calculated energy gives the sequence #B, #A, with the first entry being the most stable.

***

#A
{
  "formula": "Ac2SbRh",
  "functional": "PBE",
  "state": "optimized geometry",
  "sg": "R-3m",
  "n_ef_per_ev_atom": 0.309,
  "crystal_system": "trigonal",
  "cell": [[4.544, 0.000, 0.000], [2.272, 3.936, 0.000], [2.272, 1.312, 7.506]],
  "species": ["Sb", "Ac", "Ac", "Rh"],
  "frac_coords": [[0.500, 0.500, 0.500], [0.260, 0.260, 0.221], [0.740, 0.740, 0.779], [0.000, 0.000, 0.000]]
}

***

#B
{
  "formula": "Ac2SbRh",
  "functional": "PBE",
  "state": "optimized geometry",
  "sg": "P4/mmm",
  "n_ef_per_ev_atom": 0.217,
  "crystal_system": "tetragonal",
  "cell": [[3.820, 0.000, 0.000], [0.000, 3.820, 0.000], [0.000, 0.000, 8.159]],
  "species": ["Sb", "Ac", "Ac", "Rh"],
  "frac_coords": [[0.500, 0.500, 0.500], [0.000, 0.000, 0.780], [0.000, 0.000, 0.220], [0.500, 0.500, 0.000]]
}

***

#C
{
  "formula": "Ac2SbRh",
  "functional": "PBE",
  "state": "optimized geometry",
  "sg": "Cmcm",
  "n_ef_per_ev_atom": 0.439,
  "crystal_system": "orthorhombic",
  "cell": [[-2.591, 1.065, 3.883], [-3.508, 0.793, -2.559], [-1.633, -12.214, 2.261]],
  "species": ["Ac", "Ac", "Ac", "Ac", "Sb", "Sb", "Rh", "Rh"],
  "frac_coords": [[0.750, 0.669, 0.337], [0.250, 0.331, 0.663], [0.750, 0.942, 0.884], [0.250, 0.058, 0.116], [0.250, 0.192, 0.384], [0.750, 0.808, 0.616], [0.250, 0.462, 0.923], [0.750, 0.538, 0.077]]
}

***

Ordering by calculated energy gives the sequence #A, #C, #B, with the first entry being the most stable.

***

#A
{
  "formula": "Ac2SbRh",
  "functional": "PBE",
  "state": "optimized geometry",
  "sg": "P2_1/m",
  "n_ef_per_ev_atom": 0.445,
  "crystal_system": "monoclinic",
  "cell": [[4.472, 0.000, 0.000], [0.000, 6.598, -0.022], [0.000, -3.323, 8.545]],
  "species": ["Ac", "Ac", "Ac", "Ac", "Sb", "Sb", "Rh", "Rh"],
  "frac_coords": [[0.750, 0.220, 0.452], [0.250, 0.780, 0.548], [0.250, 0.777, 0.101], [0.750, 0.223, 0.899], [0.250, 0.335, 0.205], [0.750, 0.665, 0.795], [0.750, 0.676, 0.296], [0.250, 0.324, 0.704]]
}

***

#B
{
  "formula": "Ac2SbRh",
  "functional": "PBE",
  "state": "optimized geometry",
  "sg": "Fm-3m",
  "n_ef_per_ev_atom": 0.232,
  "crystal_system": "cubic",
  "cell": [[5.548, 0.000, 0.000], [2.774, 4.805, 0.000], [2.774, 1.602, 4.530]],
  "species": ["Sb", "Ac", "Ac", "Rh"],
  "frac_coords": [[0.000, 0.000, 0.000], [0.250, 0.250, 0.250], [0.750, 0.750, 0.750], [0.500, 0.500, 0.500]]
}

***

Ordering by calculated energy gives the sequence #A, #B, with the first entry being the most stable.